Computed, not measured: a geometry-optimized Pr3NdHo2Tm6 structure at the GGA-PBE level of DFT.

The structure in CIF format:
```
data_Pr3NdHo2Tm6
_cell_length_a 6.190
_cell_length_b 6.190
_cell_length_c 11.726
_cell_angle_alpha 95.04
_cell_angle_beta 95.04
_cell_angle_gamma 119.98
_symmetry_space_group_name_H-M 'P 1'
_symmetry_Int_Tables_number 1
loop_
_symmetry_equiv_pos_as_xyz
'x,y,z'
loop_
_atom_site_label
_atom_site_type_symbol
_atom_site_fract_x
_atom_site_fract_y
_atom_site_fract_z
Pr1 Pr 0.167 0.833 0.500
Nd1 Nd 0.000 0.000 0.000
Ho1 Ho 0.333 0.667 0.000
Tm1 Tm 0.917 0.584 0.753
Pr2 Pr 0.833 0.167 0.500
Tm2 Tm 0.083 0.416 0.247
Tm3 Tm 0.749 0.749 0.247
Tm4 Tm 0.416 0.083 0.247
Ho2 Ho 0.667 0.333 0.000
Tm5 Tm 0.251 0.251 0.753
Pr3 Pr 0.500 0.500 0.500
Tm6 Tm 0.584 0.917 0.753
```

Properties
Calculated formation energy   0.02 eV per atom
SG   C2/m, No. 12
V   383 Å³/f.u.
Total DFT energy (no corrections)   -4.568 eV/atom
Magnetization   0.000 Bohr magnetons per cell

=====

Computed, not measured: a geometry-optimized SmPuInSn structure at the GGA-PBE level of DFT.

The structure in CIF format:
```
data_SmPuInSn
_cell_length_a 5.389
_cell_length_b 5.389
_cell_length_c 5.389
_cell_angle_alpha 60.00
_cell_angle_beta 60.00
_cell_angle_gamma 60.00
_symmetry_space_group_name_H-M 'P 1'
_symmetry_Int_Tables_number 1
loop_
_symmetry_equiv_pos_as_xyz
'x,y,z'
loop_
_atom_site_label
_atom_site_type_symbol
_atom_site_fract_x
_atom_site_fract_y
_atom_site_fract_z
Sm1 Sm 0.500 0.500 0.500
In1 In 0.750 0.750 0.750
Pu1 Pu 0.000 0.000 0.000
Sn1 Sn 0.250 0.250 0.250
```

Properties
Calculated formation energy   -0.36 eV per atom
SG   F-43m, No. 216
V   111 Å³/f.u.
Total DFT energy (no corrections)   -6.806 eV/atom
Magnetization   6.062 Bohr magnetons per cell

=====

- What is the V in the second record?
  111 Å³/f.u.